KMg3Bi3 (PBE, optimized geometry); E_form = -9.4 kJ/mol of atoms; space-group type = Pm-3n; VASP energy = -2.601 eV/atom
1.0
-2.3373 -4.5270 6.4368
6.2527 -5.1453 -1.3482
4.7779 4.5189 4.9131
Mg K Bi
6 2 6
Direct
0.0000 0.2500 0.5000
0.0000 0.7500 0.5000
0.5000 0.0000 0.7500
0.7500 0.5000 0.0000
0.5000 0.0000 0.2500
0.2500 0.5000 0.0000
0.5000 0.5000 0.5000
0.0000 0.0000 0.0000
0.2500 0.0000 0.5000
0.0000 0.5000 0.2500
0.5000 0.7500 0.0000
0.7500 0.0000 0.5000
0.0000 0.5000 0.7500
0.5000 0.2500 0.0000

NaLiTi3 (PBE, optimized geometry); E_form = 110.8 kJ/mol of atoms; space-group type = Pm-3m; VASP energy = -4.235 eV/atom
1.0
-4.3717 1.6288 -0.2001
-0.8730 -2.7903 -3.6410
-1.3895 -3.3714 2.9168
Na Li Ti
1 1 3
Direct
0.5000 0.5000 0.5000
0.0000 0.0000 0.0000
0.0000 0.5000 0.0000
0.0000 0.0000 0.5000
0.5000 0.0000 0.0000

ThPF (PBE, optimized geometry); formation energy (no corrections) = -2.27 eV per atom; space-group type = C2/m; VASP energy = -7.167 eV/atom
1.0
-4.1422 0.1167 0.8982
-0.6680 -10.9787 -1.6546
3.3954 -2.8600 6.0222
F P Th
4 4 4
Direct
0.0744 0.6478 0.1489
0.5088 0.2080 0.0175
0.4912 0.7920 0.9825
0.9256 0.3522 0.8511
0.2970 0.6108 0.5940
0.6999 0.8915 0.3998
0.7030 0.3892 0.4060
0.3001 0.1085 0.6002
0.3491 0.3500 0.6982
0.6718 0.1556 0.3436
0.6509 0.6500 0.3018
0.3282 0.8444 0.6564

SrFe2Re (PBE, optimized geometry); E_form = 119.4 kJ/mol of atoms; space-group type = I-4m2; VASP energy = -6.527 eV/atom
1.0
5.3090 0.3205 0.0000
2.1064 4.8837 0.0000
-3.7077 -2.6021 2.7875
Fe Re Sr
2 1 1
Direct
0.0000 0.0000 0.0000
0.2500 0.7500 0.5000
0.5000 0.5000 0.0000
0.7500 0.2500 0.5000

LiLa3N (PBE, optimized geometry); formation energy (no corrections) = -0.48 eV per atom; space-group type = Pm-3m; VASP energy = -5.489 eV/atom
1.0
5.1563 0.0000 0.0000
0.0000 5.1563 0.0000
0.0000 0.0000 5.1563
N Li La
1 1 3
Direct
0.0000 0.0000 0.0000
0.5000 0.5000 0.5000
0.0000 0.5000 0.0000
0.0000 0.0000 0.5000
0.5000 0.0000 0.0000

CePm5Sm8 (PBE, optimized geometry); E_form = 23.8 kJ/mol of atoms; space-group type = C2; VASP energy = -4.570 eV/atom
1.0
-6.1269 0.2831 5.9674
-3.1345 1.5041 -7.8269
3.3475 -7.8525 0.6009
Ce Pm Sm
1 5 8
Direct
0.2499 0.5000 0.7499
0.0354 0.3188 0.1373
0.8628 0.8980 0.1810
0.8185 0.6812 0.7166
0.5001 0.0000 0.5001
0.2830 0.1020 0.9648
0.1773 0.7357 0.0672
0.9331 0.1095 0.6680
0.7189 0.2509 0.3232
0.6767 0.3954 0.9274
0.5320 0.6046 0.2813
0.5585 0.8905 0.8236
0.3315 0.2643 0.4416
0.0724 0.7491 0.4680

LiTbP (PBE, optimized geometry); E_form = -44.6 kJ/mol of atoms; space-group type = Cmcm; VASP energy = -4.447 eV/atom
1.0
-1.2470 -3.9929 -1.3918
3.3513 -1.5510 1.4470
-2.7168 -2.3585 9.1999
Li Tb P
2 2 2
Direct
0.7500 0.7384 0.5233
0.2500 0.2616 0.4767
0.2500 0.0878 0.8244
0.7500 0.9122 0.1756
0.2500 0.6749 0.6502
0.7500 0.3251 0.3498

SmSiPRh6 (PBE, optimized geometry); formation energy (no corrections) = -0.33 eV per atom; space-group type = Imma; VASP energy = -6.957 eV/atom
1.0
6.0729 0.0000 0.0000
0.0000 9.0225 0.0000
-3.0365 -4.5113 5.6579
Sm Si P Rh
2 2 2 12
Direct
0.8186 0.5686 0.6372
0.1814 0.4314 0.3628
0.5000 0.0000 0.5000
0.0000 0.0000 0.5000
0.5000 0.5000 0.0000
0.5000 0.0000 0.0000
0.4357 0.6857 0.8713
0.9064 0.1564 0.8127
0.8942 0.1182 0.2658
0.3716 0.6477 0.2658
0.3716 0.1182 0.2658
0.8942 0.6477 0.2658
0.5643 0.3143 0.1287
0.0936 0.8436 0.1873
0.1058 0.8818 0.7342
0.6284 0.3523 0.7342
0.6284 0.8818 0.7342
0.1058 0.3523 0.7342